PrHgO3 | PBE | relaxed

**DOS(E_F)**: 4.88 states/eV/f.u.
**Space-group type**: No. 63
**Formation energy without anion corrections**: -1566 meV per atom
**Magnetic moment**: 2.07 Bohr magnetons per cell

Cell lengths 3.8559, 6.0057, 7.4705 Å; angles 90.00, 104.96, 90.00 degrees
Sites, in units of the cell vectors:
1 O 0.8248 0.5015 0.6496
2 O 0.1752 0.4985 0.3504
3 O 0.4817 0.7500 0.9633
4 O 0.1752 0.0015 0.3504
5 O 0.8248 0.9985 0.6496
6 O 0.5183 0.2500 0.0367
7 Hg 0.9437 0.2500 0.8873
8 Hg 0.0563 0.7500 0.1127
9 Pr 0.3092 0.7500 0.6184
10 Pr 0.6908 0.2500 0.3816



Pr2Hg3O6 | PBE | relaxed

**DOS(E_F)**: 0.00 states/eV/f.u.
**Space-group type**: No. 12
**Formation energy without anion corrections**: -1676 meV per atom
**Magnetic moment**: 0.00 Bohr magnetons per cell

Cell lengths 3.9466, 6.7194, 7.6876 Å; angles 94.09, 104.87, 90.00 degrees
Sites, in units of the cell vectors:
1 O 0.0137 0.8005 0.0274
2 O 0.6908 0.8859 0.3816
3 O 0.3413 0.7154 0.6826
4 O 0.9863 0.1995 0.9726
5 O 0.6587 0.2846 0.3174
6 O 0.3092 0.1141 0.6184
7 Hg 0.3298 0.4149 0.6595
8 Hg 0.6702 0.5851 0.3405
9 Hg 0.0000 0.5000 0.0000
10 Pr 0.8660 0.9404 0.7320
11 Pr 0.1340 0.0596 0.2680



Pr12Hg3O4 | PBE | relaxed

**DOS(E_F)**: 14.11 states/eV/f.u.
**Space-group type**: No. 204
**Formation energy without anion corrections**: -1229 meV per atom
**Magnetic moment**: 0.00 Bohr magnetons per cell

Cell lengths 8.6809, 8.6809, 8.6809 Å; angles 109.47, 109.47, 109.47 degrees
Sites, in units of the cell vectors:
1 Pr 0.7491 0.7483 0.4974
2 Pr 0.2517 0.5026 0.2509
3 Pr 0.2517 0.0008 0.7491
4 Pr 0.7483 0.4974 0.7491
5 Pr 0.7491 0.2517 0.0008
6 Pr 0.2509 0.7483 0.9992
7 Pr 0.2509 0.2517 0.5026
8 Pr 0.7483 0.9992 0.2509
9 Pr 0.0008 0.7491 0.2517
10 Pr 0.9992 0.2509 0.7483
11 Pr 0.4974 0.7491 0.7483
12 Pr 0.5026 0.2509 0.2517
13 O 0.0000 0.5000 0.0000
14 O 0.5000 0.5000 0.5000
15 O 0.0000 0.0000 0.5000
16 O 0.5000 0.0000 0.0000
17 Hg 0.0000 0.5000 0.5000
18 Hg 0.5000 0.0000 0.5000
19 Hg 0.5000 0.5000 0.0000



Pr2HgPtO6 | PBE | relaxed

**Space-group type**: No. 146
**Formation energy without anion corrections**: -1823 meV per atom
**Magnetic moment**: 0.00 Bohr magnetons per cell

Cell lengths 5.9308, 5.9307, 5.9923 Å; angles 60.34, 60.34, 60.00 degrees
Sites, in units of the cell vectors:
1 O 0.2029 0.9734 0.2496
2 O 0.6689 0.1335 0.7757
3 O 0.9734 0.5741 0.2496
4 O 0.1335 0.4220 0.7757
5 O 0.4220 0.6689 0.7757
6 O 0.5741 0.2029 0.2496
7 Pt 0.3205 0.3205 0.0385
8 Pr 0.5399 0.5398 0.3804
9 Pr 0.0291 0.0291 0.9127
10 Hg 0.7974 0.7974 0.6079



Pr2HgPtO5 | PBE | relaxed

**DOS(E_F)**: 7.70 states/eV/f.u.
**Space-group type**: No. 127
**Formation energy without anion corrections**: -1858 meV per atom
**Magnetic moment**: 1.18 Bohr magnetons per cell

Cell lengths 5.6948, 7.0553, 7.0553 Å; angles 90.00, 90.00, 90.00 degrees
Sites, in units of the cell vectors:
1 O 0.5000 0.0000 0.0000
2 O 0.7415 0.3676 0.1324
3 O 0.7415 0.8676 0.3676
4 O 0.2585 0.8676 0.3676
5 O 0.2585 0.6324 0.8676
6 O 0.7415 0.6324 0.8676
7 O 0.2585 0.3676 0.1324
8 O 0.2585 0.1324 0.6324
9 O 0.5000 0.5000 0.5000
10 O 0.7415 0.1324 0.6324
11 Pt 0.0000 0.0000 0.5000
12 Pt 0.0000 0.5000 0.0000
13 Pr 0.5000 0.1766 0.3234
14 Pr 0.5000 0.8234 0.6766
15 Pr 0.5000 0.6766 0.1766
16 Pr 0.5000 0.3234 0.8234
17 Hg 0.0000 0.5000 0.5000
18 Hg 0.0000 0.0000 0.0000



Pr2PuHgO8 | PBE | relaxed

**DOS(E_F)**: 0.86 states/eV/f.u.
**Space-group type**: No. 10
**Formation energy without anion corrections**: -2269 meV per atom
**Magnetic moment**: 0.00 Bohr magnetons per cell

Cell lengths 4.3751, 5.3762, 7.9392 Å; angles 90.00, 90.00, 96.28 degrees
Sites, in units of the cell vectors:
1 Pr 0.5001 0.5000 0.2531
2 Pr 0.4999 0.5000 0.7469
3 O 0.6586 0.7164 0.5000
4 O 0.9175 0.2322 0.8138
5 O 0.3414 0.2836 0.5000
6 O 0.9174 0.2321 0.1862
7 O 0.0825 0.7678 0.1862
8 O 0.0826 0.7679 0.8138
9 O 0.4011 0.2209 0.0000
10 O 0.5989 0.7791 0.0000
11 Pu 0.0000 0.0000 0.0000
12 Hg 0.0000 0.0000 0.5000



PrPuHg2O6 | PBE | relaxed

**DOS(E_F)**: 8.85 states/eV/f.u.
**Space-group type**: No. 148
**Formation energy without anion corrections**: -1866 meV per atom
**Magnetic moment**: 3.00 Bohr magnetons per cell

Cell lengths 5.9182, 5.9182, 6.2821 Å; angles 61.89, 61.90, 60.00 degrees
Sites, in units of the cell vectors:
1 O 0.6757 0.0859 0.8128
2 O 0.2067 0.9566 0.2902
3 O 0.5465 0.2067 0.2902
4 O 0.9567 0.5464 0.2902
5 O 0.0858 0.4256 0.8128
6 O 0.4256 0.6757 0.8127
7 Pu 0.3161 0.3161 0.0515
8 Hg 0.5680 0.5679 0.2963
9 Hg 0.0644 0.0644 0.8068
10 Pr 0.8162 0.8162 0.5515



RbPrHgO3 | PBE | relaxed

**Space-group type**: No. 11
**Formation energy without anion corrections**: -1683 meV per atom
**Magnetic moment**: 0.00 Bohr magnetons per cell

Cell lengths 3.6982, 7.9881, 9.3623 Å; angles 95.57, 90.00, 90.00 degrees
Sites, in units of the cell vectors:
1 O 0.2500 0.8330 0.5445
2 O 0.7500 0.1670 0.4555
3 O 0.7500 0.8176 0.1685
4 O 0.2500 0.5743 0.8922
5 O 0.7500 0.4257 0.1078
6 O 0.2500 0.1824 0.8315
7 Rb 0.2500 0.1518 0.2124
8 Rb 0.7500 0.8482 0.7876
9 Pr 0.7500 0.3709 0.8676
10 Pr 0.2500 0.6291 0.1324
11 Hg 0.7500 0.8461 0.4131
12 Hg 0.2500 0.1539 0.5869



RbPrHg2O4 | PBE | relaxed

**DOS(E_F)**: 0.00 states/eV/f.u.
**Space-group type**: No. 23
**Formation energy without anion corrections**: -1385 meV per atom
**Magnetic moment**: 0.00 Bohr magnetons per cell

Cell lengths 6.2452, 6.0431, 6.0431 Å; angles 68.28, 58.89, 58.89 degrees
Sites, in units of the cell vectors:
1 O 0.0890 0.8502 0.5190
2 O 0.5417 0.5190 0.8502
3 O 0.4583 0.1498 0.4810
4 O 0.9110 0.4810 0.1498
5 Hg 0.7982 0.7018 0.7018
6 Hg 0.2018 0.2982 0.2982
7 Pr 0.5000 0.5000 0.5000
8 Rb 0.0000 0.0000 0.0000



PrHgS2O8 | PBE | relaxed

**DOS(E_F)**: 3.39 states/eV/f.u.
**Space-group type**: No. 164
**Formation energy without anion corrections**: -1649 meV per atom
**Magnetic moment**: 0.68 Bohr magnetons per cell

Cell lengths 5.2730, 5.2730, 8.3029 Å; angles 90.00, 90.00, 120.00 degrees
Sites, in units of the cell vectors:
1 O 0.8216 0.6431 0.2701
2 O 0.3333 0.6667 0.4929
3 O 0.1784 0.3569 0.7299
4 O 0.6431 0.8216 0.7299
5 O 0.6667 0.3333 0.5071
6 O 0.1784 0.8216 0.7299
7 O 0.8216 0.1784 0.2701
8 O 0.3569 0.1784 0.2701
9 S 0.6667 0.3333 0.3261
10 S 0.3333 0.6667 0.6739
11 Hg 0.0000 0.0000 0.0000
12 Pr 0.0000 0.0000 0.5000



Pr2HgS2O2 | PBE | relaxed

**Space-group type**: No. 164
**Formation energy without anion corrections**: -1470 meV per atom
**Magnetic moment**: 0.00 Bohr magnetons per cell

Cell lengths 5.1067, 5.1067, 8.3834 Å; angles 90.00, 90.00, 120.00 degrees
Sites, in units of the cell vectors:
1 S 0.0000 0.0000 0.3714
2 S 0.0000 0.0000 0.6286
3 Pr 0.3333 0.6667 0.6410
4 Pr 0.6667 0.3333 0.3590
5 Hg 0.0000 0.0000 0.0000
6 O 0.6667 0.3333 0.6058
7 O 0.3333 0.6667 0.3942



Pr2HgSe2O2 | PBE | relaxed

**Space-group type**: No. 164
**Formation energy without anion corrections**: -2053 meV per atom
**Magnetic moment**: 0.00 Bohr magnetons per cell

Cell lengths 4.1382, 4.1382, 11.7288 Å; angles 90.00, 90.00, 120.00 degrees
Sites, in units of the cell vectors:
1 Se 0.0000 0.0000 0.2085
2 Se 0.0000 0.0000 0.7915
3 O 0.3333 0.6667 0.4239
4 O 0.6667 0.3333 0.5761
5 Hg 0.0000 0.0000 0.0000
6 Pr 0.6667 0.3333 0.3726
7 Pr 0.3333 0.6667 0.6274



Pr2SiHgO6 | PBE | relaxed

**DOS(E_F)**: 0.00 states/eV/f.u.
**Space-group type**: No. 99
**Formation energy without anion corrections**: -2406 meV per atom
**Magnetic moment**: 0.00 Bohr magnetons per cell

Cell lengths 4.9972, 5.3919, 5.3919 Å; angles 90.00, 90.00, 90.00 degrees
Sites, in units of the cell vectors:
1 O 0.1003 0.5000 0.5000
2 O 0.7283 0.2198 0.2198
3 O 0.7283 0.7802 0.2198
4 O 0.7283 0.7802 0.7802
5 O 0.2775 0.0000 0.0000
6 O 0.7283 0.2198 0.7802
7 Pr 0.0081 0.0000 0.5000
8 Pr 0.0081 0.5000 0.0000
9 Hg 0.5266 0.5000 0.5000
10 Si 0.6128 0.0000 0.0000



PrSmHgO | PBE | relaxed

**DOS(E_F)**: 3.08 states/eV/f.u.
**Space-group type**: No. 44
**Formation energy without anion corrections**: -1610 meV per atom
**Magnetic moment**: 0.00 Bohr magnetons per cell

Cell lengths 3.7682, 3.8119, 7.3973 Å; angles 104.92, 104.76, 90.00 degrees
Sites, in units of the cell vectors:
1 Hg 0.3231 0.7813 0.6461
2 Pr 0.6696 0.1278 0.3393
3 Sm 0.9747 0.4330 0.9493
4 O 0.5675 0.5257 0.1350



Pr2SmHgO | PBE | relaxed

**DOS(E_F)**: 3.00 states/eV/f.u.
**Space-group type**: No. 123
**Formation energy without anion corrections**: -1328 meV per atom
**Magnetic moment**: 0.00 Bohr magnetons per cell

Cell lengths 4.8900, 5.0137, 5.0137 Å; angles 90.00, 90.00, 90.00 degrees
Sites, in units of the cell vectors:
1 O 0.0000 0.0000 0.0000
2 Sm 0.5000 0.0000 0.0000
3 Hg 0.5000 0.5000 0.5000
4 Pr 0.0000 0.5000 0.0000
5 Pr 0.0000 0.0000 0.5000



Pr2Sm4Hg3O2 | PBE | relaxed

**DOS(E_F)**: 6.97 states/eV/f.u.
**Space-group type**: No. 139
**Formation energy without anion corrections**: -1240 meV per atom
**Magnetic moment**: 0.00 Bohr magnetons per cell

Cell lengths 4.8779, 4.8779, 12.5205 Å; angles 101.23, 101.23, 90.00 degrees
Sites, in units of the cell vectors:
1 Hg 0.8301 0.8301 0.6602
2 Hg 0.0000 0.0000 0.0000
3 Hg 0.1699 0.1699 0.3398
4 Sm 0.4159 0.9159 0.8318
5 Sm 0.0841 0.5841 0.1682
6 Sm 0.9159 0.4159 0.8318
7 Sm 0.5841 0.0841 0.1682
8 Pr 0.7016 0.7016 0.4032
9 Pr 0.2984 0.2984 0.5968
10 O 0.6004 0.6004 0.2008
11 O 0.3996 0.3996 0.7992



PrSm2HgO | PBE | relaxed

**DOS(E_F)**: 2.22 states/eV/f.u.
**Space-group type**: No. 123
**Formation energy without anion corrections**: -1343 meV per atom
**Magnetic moment**: 0.00 Bohr magnetons per cell

Cell lengths 5.0012, 4.8962, 4.8962 Å; angles 90.00, 90.00, 90.00 degrees
Sites, in units of the cell vectors:
1 Hg 0.5000 0.5000 0.5000
2 Pr 0.5000 0.0000 0.0000
3 O 0.0000 0.0000 0.0000
4 Sm 0.0000 0.5000 0.0000
5 Sm 0.0000 0.0000 0.5000



Pr4Sm2Hg3O2 | PBE | relaxed

**DOS(E_F)**: 7.18 states/eV/f.u.
**Space-group type**: No. 139
**Formation energy without anion corrections**: -1201 meV per atom
**Magnetic moment**: 0.00 Bohr magnetons per cell

Cell lengths 4.9508, 4.9508, 12.6007 Å; angles 101.33, 101.33, 90.00 degrees
Sites, in units of the cell vectors:
1 Hg 0.1726 0.1726 0.3453
2 Hg 0.8274 0.8274 0.6547
3 Hg 0.0000 0.0000 0.0000
4 Pr 0.9138 0.4138 0.8277
5 Pr 0.0862 0.5862 0.1723
6 Pr 0.5862 0.0862 0.1723
7 Pr 0.4138 0.9138 0.8277
8 O 0.6066 0.6066 0.2132
9 O 0.3934 0.3934 0.7868
10 Sm 0.7019 0.7019 0.4038
11 Sm 0.2981 0.2981 0.5962



Pr4SnHgO | PBE | relaxed

**DOS(E_F)**: 3.14 states/eV/f.u.
**Space-group type**: No. 63
**Formation energy without anion corrections**: -1142 meV per atom
**Magnetic moment**: 0.00 Bohr magnetons per cell

Cell lengths 6.8129, 6.8215, 9.2485 Å; angles 90.00, 111.61, 90.00 degrees
Sites, in units of the cell vectors:
1 Pr 0.5648 0.2500 0.1296
2 Pr 0.0000 0.5000 0.5000
3 Pr 0.4352 0.7500 0.8704
4 Pr 0.0796 0.7500 0.1593
5 Pr 0.0000 0.0000 0.5000
6 Pr 0.5000 0.0000 0.5000
7 Pr 0.5000 0.5000 0.5000
8 Pr 0.9204 0.2500 0.8407
9 O 0.2271 0.7500 0.4543
10 O 0.7729 0.2500 0.5457
11 Sn 0.1104 0.2500 0.2208
12 Sn 0.8896 0.7500 0.7792
13 Hg 0.3847 0.2500 0.7694
14 Hg 0.6153 0.7500 0.2306



SrPr2HgO5 | PBE | relaxed

**DOS(E_F)**: 0.00 states/eV/f.u.
**Space-group type**: No. 127
**Formation energy without anion corrections**: -2309 meV per atom
**Magnetic moment**: 0.00 Bohr magnetons per cell

Cell lengths 6.3322, 6.8508, 6.8508 Å; angles 90.00, 90.00, 90.00 degrees
Sites, in units of the cell vectors:
1 O 0.2557 0.6557 0.8443
2 O 0.2557 0.8443 0.3443
3 O 0.7443 0.8443 0.3443
4 O 0.5000 0.5000 0.5000
5 O 0.7443 0.6557 0.8443
6 O 0.2557 0.1557 0.6557
7 O 0.7443 0.3443 0.1557
8 O 0.2557 0.3443 0.1557
9 O 0.7443 0.1557 0.6557
10 O 0.5000 0.0000 0.0000
11 Pr 0.5000 0.6711 0.1711
12 Pr 0.5000 0.8289 0.6711
13 Pr 0.5000 0.1711 0.3289
14 Pr 0.5000 0.3289 0.8289
15 Hg 0.0000 0.0000 0.5000
16 Hg 0.0000 0.5000 0.0000
17 Sr 0.0000 0.5000 0.5000
18 Sr 0.0000 0.0000 0.0000



TbPr2HgO | PBE | relaxed

**DOS(E_F)**: 3.04 states/eV/f.u.
**Space-group type**: No. 123
**Formation energy without anion corrections**: -1332 meV per atom
**Magnetic moment**: 0.00 Bohr magnetons per cell

Cell lengths 4.7766, 5.0249, 5.0249 Å; angles 90.00, 90.00, 90.00 degrees
Sites, in units of the cell vectors:
1 Pr 0.0000 0.0000 0.5000
2 Pr 0.0000 0.5000 0.0000
3 Hg 0.5000 0.5000 0.5000
4 Tb 0.5000 0.0000 0.0000
5 O 0.0000 0.0000 0.0000



PrTc2HgO8 | PBE | relaxed

**DOS(E_F)**: 5.60 states/eV/f.u.
**Space-group type**: No. 164
**Formation energy without anion corrections**: -1681 meV per atom
**Magnetic moment**: 0.00 Bohr magnetons per cell

Cell lengths 6.4086, 6.4086, 8.0067 Å; angles 90.00, 90.00, 120.00 degrees
Sites, in units of the cell vectors:
1 O 0.6340 0.8171 0.6557
2 O 0.8171 0.1831 0.3443
3 O 0.3333 0.6667 0.9462
4 O 0.1829 0.8169 0.6557
5 O 0.8169 0.6340 0.3443
6 O 0.3660 0.1829 0.3443
7 O 0.1831 0.3660 0.6557
8 O 0.6667 0.3333 0.0538
9 Pr 0.0000 0.0000 0.5000
10 Tc 0.6667 0.3333 0.2683
11 Tc 0.3333 0.6667 0.7317
12 Hg 0.0000 0.0000 0.0000